Version 1
Below is a relaxed LiPt4W crystal, with properties calculated at the PBE-GGA level.

The structure in CIF format:
```
data_LiPt4W
_chemical_formula_sum 'Li4 Pt16 W4'
_space_group_name_H-M_alt 'F -4 3 m'
_space_group_IT_number 216
_space_group_name_Hall 'F -4 2 3'
_cell_length_a 7.3526
_cell_length_b 7.3526
_cell_length_c 7.3526
_cell_angle_alpha 90.00
_cell_angle_beta 90.00
_cell_angle_gamma 90.00
loop_
_atom_site_label
_atom_site_type_symbol
_atom_site_fract_x
_atom_site_fract_y
_atom_site_fract_z
Li1 Li 0.0000 0.0000 0.0000
Pt1 Pt 0.1252 0.1252 0.6252
W1 W 0.2500 0.2500 0.2500
```

Properties
Magnetic moment = 0.0 μB per formula unit
Calculated volume = 16.56 Å³ per atom

Version 2
Below is a relaxed LiPt4W crystal, with properties calculated at the PBE-GGA level.

The structure in CIF format:
```
data_LiPt4W
_chemical_formula_sum 'Li1 Pt4 W1'
_space_group_name_H-M_alt 'P 4/m m m'
_space_group_IT_number 123
_space_group_name_Hall '-P 4 2'
_cell_length_a 2.7750
_cell_length_b 2.7750
_cell_length_c 11.7084
_cell_angle_alpha 90.00
_cell_angle_beta 90.00
_cell_angle_gamma 90.00
loop_
_atom_site_label
_atom_site_type_symbol
_atom_site_fract_x
_atom_site_fract_y
_atom_site_fract_z
Li1 Li 0.0000 0.0000 0.0000
Pt1 Pt 0.0000 0.0000 0.3346
Pt2 Pt 0.5000 0.5000 0.1550
W1 W 0.5000 0.5000 0.5000
```

Properties
Magnetic moment = 0.0 μB per formula unit
Calculated volume = 15.03 Å³ per atom

The most stable of them is version 2.

Version 1
Below is a relaxed LiPtW crystal, with properties calculated at the PBE-GGA level.

The structure in CIF format:
```
data_LiPtW
_chemical_formula_sum 'Li4 Pt4 W4'
_space_group_name_H-M_alt 'F m m 2'
_space_group_IT_number 42
_space_group_name_Hall 'F 2 -2'
_cell_length_a 3.1500
_cell_length_b 4.4048
_cell_length_c 13.4095
_cell_angle_alpha 90.00
_cell_angle_beta 90.00
_cell_angle_gamma 90.00
loop_
_atom_site_label
_atom_site_type_symbol
_atom_site_fract_x
_atom_site_fract_y
_atom_site_fract_z
Li1 Li 0.0000 0.0000 0.0000
Pt1 Pt 0.0000 0.0000 0.3413
W1 W 0.0000 0.0000 0.6782
```

Properties
Magnetic moment = 0.0 μB per formula unit
Calculated volume = 15.50 Å³ per atom

Version 2
Below is a relaxed LiPtW crystal, with properties calculated at the PBE-GGA level.

The structure in CIF format:
```
data_LiPtW
_chemical_formula_sum 'Li2 Pt2 W2'
_space_group_name_H-M_alt 'I m m 2'
_space_group_IT_number 44
_cell_length_a 2.7129
_cell_length_b 4.0636
_cell_length_c 7.9007
_cell_angle_alpha 90.00
_cell_angle_beta 90.00
_cell_angle_gamma 90.00
loop_
_space_group_symop_operation_xyz
'x,y,z'
'-x,-y,z'
'-x,y,z'
'x,-y,z'
'x+1/2,y+1/2,z+1/2'
'-x+1/2,-y+1/2,z+1/2'
'-x+1/2,y+1/2,z+1/2'
'x+1/2,-y+1/2,z+1/2'
loop_
_atom_site_label
_atom_site_type_symbol
_atom_site_fract_x
_atom_site_fract_y
_atom_site_fract_z
Li1 Li 0.0000 0.0000 0.0000
Pt1 Pt 0.0000 0.0000 0.6637
W1 W 0.0000 0.0000 0.3256
```

Properties
Magnetic moment = 0.0 μB per formula unit
Calculated volume = 14.52 Å³ per atom

Version 3
Below is a relaxed LiPtW crystal, with properties calculated at the PBE-GGA level.

The structure in CIF format:
```
data_LiPtW
_chemical_formula_sum 'Li4 Pt4 W4'
_space_group_name_H-M_alt 'F -4 3 m'
_space_group_IT_number 216
_space_group_name_Hall 'F -4 2 3'
_cell_length_a 5.9039
_cell_length_b 5.9039
_cell_length_c 5.9039
_cell_angle_alpha 90.00
_cell_angle_beta 90.00
_cell_angle_gamma 90.00
loop_
_atom_site_label
_atom_site_type_symbol
_atom_site_fract_x
_atom_site_fract_y
_atom_site_fract_z
Li1 Li 0.0000 0.0000 0.0000
Pt1 Pt 0.2500 0.2500 0.2500
W1 W 0.0000 0.0000 0.5000
```

Properties
Magnetic moment = 0.0 μB per formula unit
Calculated volume = 17.15 Å³ per atom

The most stable of them is version 2.